Here is an optimized crystal structure of Na2Bi3Pb3 from the Alexandria database. Energies are from GGA-PBE.

ΔE_f ... -0.10 eV per atom
Calculated density ... 8.5 g/cm³
Calculated volume ... 252 Å³ per cell
Offset from the most stable computed form ... 0 meV/atom
SG ... P-62m

Cell and atoms, written as POSCAR:
```
Na2Bi3Pb3
1.0
9.1682 0.0000 0.0000
-4.5841 7.9399 0.0000
0.0000 0.0000 3.4677
Na Bi Pb
2 3 3
direct
0.3333 0.6667 0.0000
0.6667 0.3333 0.0000
0.0000 0.6254 0.5000
0.3746 0.3746 0.5000
0.6254 0.0000 0.5000
0.0000 0.2179 0.0000
0.2179 0.0000 0.0000
0.7821 0.7821 0.0000
```



Here is an optimized crystal structure of In2SnAs from the Alexandria database. Energies are from GGA-PBE.

ΔE_f ... 0.01 eV per atom
Calculated density ... 5.3 g/cm³
Calculated volume ... 529 Å³ per cell
Offset from the most stable computed form ... 0 meV/atom
SG ... I-42d

Cell and atoms, written as POSCAR:
```
In2SnAs
1.0
6.5333 0.0000 0.0000
0.0000 6.5333 0.0000
0.0000 0.0000 12.3955
In Sn As
8 4 4
direct
0.2255 0.2500 0.1250
0.2500 0.7255 0.3750
0.2500 0.7745 0.8750
0.2745 0.2500 0.6250
0.7255 0.7500 0.6250
0.7500 0.2255 0.8750
0.7500 0.2745 0.3750
0.7745 0.7500 0.1250
0.0000 0.0000 0.5000
0.0000 0.5000 0.7500
0.5000 0.0000 0.2500
0.5000 0.5000 0.0000
0.0000 0.0000 0.0000
0.0000 0.5000 0.2500
0.5000 0.0000 0.7500
0.5000 0.5000 0.5000
```



Here is an optimized crystal structure of V2HN from the Alexandria database. Energies are from GGA-PBE.

Calculated density ... 6.0 g/cm³
Calculated volume ... 130 Å³ per cell
Offset from the most stable computed form ... 738 meV/atom
SG ... Fm-3m

Cell and atoms, written as POSCAR:
```
V2HN
1.0
5.0696 0.0000 0.0000
0.0000 5.0696 0.0000
0.0000 0.0000 5.0696
V H N
8 4 4
direct
0.2500 0.2500 0.2500
0.2500 0.2500 0.7500
0.2500 0.7500 0.2500
0.2500 0.7500 0.7500
0.7500 0.2500 0.2500
0.7500 0.2500 0.7500
0.7500 0.7500 0.2500
0.7500 0.7500 0.7500
0.0000 0.0000 0.0000
0.0000 0.5000 0.5000
0.5000 0.0000 0.5000
0.5000 0.5000 0.0000
0.0000 0.0000 0.5000
0.0000 0.5000 0.0000
0.5000 0.0000 0.0000
0.5000 0.5000 0.5000
```



Here is an optimized crystal structure of Tb3Tm5Se8 from the Alexandria database. Energies are from GGA-PBE.

ΔE_f (raw) ... -2621 kJ/mol of formula units
Calculated density ... 8.6 g/cm³
Calculated volume ... 375 Å³ per cell
SG ... R-3m

Cell and atoms, written as POSCAR:
```
Tb3Tm5Se8
1.0
4.0452 2.3355 6.6150
-4.0452 2.3355 6.6150
0.0000 -4.6710 6.6150
Tb Tm Se
3 5 8
direct
0.0000 0.5000 0.5000
0.5000 0.0000 0.5000
0.5000 0.5000 0.0000
0.0000 0.0000 0.0000
0.0000 0.0000 0.5000
0.0000 0.5000 0.0000
0.5000 0.0000 0.0000
0.5000 0.5000 0.5000
0.2446 0.7500 0.7500
0.2473 0.2473 0.2473
0.2500 0.2500 0.7554
0.2500 0.7554 0.2500
0.7500 0.2446 0.7500
0.7500 0.7500 0.2446
0.7527 0.7527 0.7527
0.7554 0.2500 0.2500
```